Entry 1:
Density functional theory data (PBE) for an optimized crystal structure of RbSr3Cd.

## Properties
* total energy: -0.551 eV per atom
* magnetization: 0.00 μB/cell
* D(E_F): 9.77 states/eV/f.u.
* distance to the lowest polymorph of the same formula: 0.845 eV per atom

Cell lengths 7.5293, 7.5293, 7.5293 Å; angles 90.00, 90.00, 90.00 degrees
Last column: nearest neighbours and their distance in Å.
Space group Pm-3m (No. 221)
One atom of each set of equivalent atoms:
Rb: 0.0000 0.0000 0.0000  6 Sr 3.76
Sr: 0.0000 0.0000 0.5000  2 Rb 3.76
Cd: 0.5000 0.5000 0.5000  12 Sr 5.32


Entry 2:
Density functional theory data (PBE) for an optimized crystal structure of RbSr3Cd.

## Properties
* total energy: -1.396 eV per atom
* magnetization: 0.00 μB/cell
* D(E_F): 4.16 states/eV/f.u.
* distance to the lowest polymorph of the same formula: 0.000 eV per atom

Cell lengths 6.5714, 6.5714, 6.5714 Å; angles 90.00, 90.00, 90.00 degrees
Last column: nearest neighbours and their distance in Å.
Space group Pm-3m (No. 221)
One atom of each set of equivalent atoms:
Rb: 0.0000 0.0000 0.0000  12 Sr 4.65
Sr: 0.0000 0.5000 0.5000  2 Cd 3.29
Cd: 0.5000 0.5000 0.5000  6 Sr 3.29